Below is HoHf3Rh4 after structural relaxation, with properties calculated at the GGA-PBE level.

a = 4.5607 Å, b = 4.5607 Å, c = 24.7402 Å
α = 90.00°, β = 90.00°, γ = 120.00°
Space group R-3m (No. 166, hexagonal axes)
Inequivalent atoms, fractional coordinates:
Ho (0.0000, 0.0000, 0.0000) x3
Hf (0.0000, 0.0000, 0.2476) x6
Hf (0.0000, 0.0000, 0.5000) x3
Rh (0.0000, 0.0000, 0.1317) x6
Rh (0.0000, 0.0000, 0.3937) x6

Formation enthalpy at 0 K, meV/atom: -883
E, eV for the cell shown: -212.7



Below is HoHf2Rh3 after structural relaxation, with properties calculated at the GGA-PBE level.

a = 3.273 Å, b = 3.273 Å, c = 10.295 Å
α = 90.00°, β = 90.00°, γ = 90.00°
Space group P4/mmm (No. 123)
Inequivalent atoms, fractional coordinates:
Ho (0.000, 0.000, 0.000) x1
Hf (0.000, 0.000, 0.338) x2
Rh (0.500, 0.500, 0.193) x2
Rh (0.500, 0.500, 0.500) x1

Formation enthalpy at 0 K, meV/atom: -903
E, eV for the cell shown: -52.0



Copy entry 1 word for word.
Below is HoHf3Rh4 after structural relaxation, with properties calculated at the GGA-PBE level.

a = 4.5607 Å, b = 4.5607 Å, c = 24.7402 Å
α = 90.00°, β = 90.00°, γ = 120.00°
Space group R-3m (No. 166, hexagonal axes)
Inequivalent atoms, fractional coordinates:
Ho (0.0000, 0.0000, 0.0000) x3
Hf (0.0000, 0.0000, 0.2476) x6
Hf (0.0000, 0.0000, 0.5000) x3
Rh (0.0000, 0.0000, 0.1317) x6
Rh (0.0000, 0.0000, 0.3937) x6

Formation enthalpy at 0 K, meV/atom: -883
E, eV for the cell shown: -212.7